The following is a GGA-PBE calculation of NaZrAl after structural relaxation, from Alexandria via LeMat-Bulk. Values from VASP.

```
&SYSTEM
  ibrav = 0, nat = 6, ntyp = 3
/
ATOMIC_SPECIES
Al 26.98 Al.upf
Na 22.99 Na.upf
Zr 91.22 Zr.upf
CELL_PARAMETERS angstrom
4.4782 0.0000 0.0000
0.0000 4.4782 0.0000
0.0000 0.0000 7.3781
ATOMIC_POSITIONS angstrom
Al 2.2391 2.2391 0.0000
Na 2.2391 0.0000 2.3621
Zr 2.2391 0.0000 5.6698
Na 0.0000 2.2391 5.0160
Al 0.0000 0.0000 0.0000
Zr 0.0000 2.2391 1.7084
```

Total magnetic moment, μB/f.u.: 0.0
E, eV for the cell shown: -24.178
DFT formation energy, eV/atom: 0.51

The following is a GGA-PBE calculation of NiHgCl2 after structural relaxation, from Alexandria via LeMat-Bulk. Values from VASP.

```
&SYSTEM
  ibrav = 0, nat = 4, ntyp = 3
/
ATOMIC_SPECIES
Cl 35.45 Cl.upf
Hg 200.59 Hg.upf
Ni 58.69 Ni.upf
CELL_PARAMETERS angstrom
-2.2359 2.2494 -0.1111
-1.2008 -1.3697 -3.5663
-5.9148 -5.6832 3.9654
ATOMIC_POSITIONS angstrom
Cl -4.2931 -4.2695 -0.0462
Hg -2.8968 -0.6385 0.0442
Cl -6.3802 -6.3098 0.6449
Ni -6.4546 -4.1649 0.2438
```

Total magnetic moment, μB/f.u.: 0.0
Formation energy from raw total energies, kJ/mol of atoms: -34
E, eV for the cell shown: -11.192

The following is a GGA-PBE calculation of BaNa3Ti after structural relaxation, from Alexandria via LeMat-Bulk. Values from VASP.

```
&SYSTEM
  ibrav = 0, nat = 5, ntyp = 3
/
ATOMIC_SPECIES
Na 22.99 Na.upf
Ba 137.33 Ba.upf
Ti 47.87 Ti.upf
CELL_PARAMETERS angstrom
-5.2367 -2.3182 -2.3821
-0.5956 -3.7186 4.9284
-3.2701 4.3897 2.9169
ATOMIC_POSITIONS angstrom
Na -1.6351 2.1948 1.4584
Ba 0.0000 0.0000 0.0000
Na -2.6183 -1.1591 -1.1910
Ti -4.5512 -0.8236 2.7316
Na -0.2978 -1.8593 2.4642
```

Total magnetic moment, μB/f.u.: 1.1
E, eV for the cell shown: -6.448
DFT formation energy, eV/atom: 1.47

The following is a GGA-PBE calculation of KY2Cd after structural relaxation, from Alexandria via LeMat-Bulk. Values from VASP.

```
&SYSTEM
  ibrav = 0, nat = 4, ntyp = 3
/
ATOMIC_SPECIES
Y 88.91 Y.upf
Cd 112.41 Cd.upf
K 39.10 K.upf
CELL_PARAMETERS angstrom
6.3169 0.0000 0.0000
2.4420 5.8258 0.0000
-4.3794 -2.9129 3.4984
ATOMIC_POSITIONS angstrom
Y 1.2210 2.9129 1.7492
Y 0.0000 0.0000 0.0000
Cd 4.3794 2.9129 0.0000
K 3.1584 0.0000 1.7492
```

Total magnetic moment, μB/f.u.: 0.0
E, eV for the cell shown: -13.499
DFT formation energy, eV/atom: 0.36

Number 1: D(E_F) 1.97 states/eV/f.u.. Number 2: D(E_F) 2.14 states/eV/f.u.. Number 3: D(E_F) 12.39 states/eV/f.u.. Number 4: D(E_F) 7.25 states/eV/f.u..